A plane-wave DFT calculation with PBE was carried out for crystalline ReAsSCl2 at its relaxed geometry.

Crystal system: tetragonal

The structure in POSCAR format:
```
ReAsSCl2
1.0
4.9960 0.0000 0.0000
0.0000 4.9960 0.0000
0.0000 0.0000 4.9705
Re As S Cl
1 1 1 2
Cartesian
0.0000 0.0000 0.0000
2.4980 2.4980 2.4852
2.4980 2.4980 0.0000
0.0000 2.4980 2.4852
2.4980 0.0000 2.4852
```

---

A plane-wave DFT calculation with PBE was carried out for crystalline ReAsSCl2 at its relaxed geometry.

Crystal system: tetragonal

The structure in POSCAR format:
```
ReAsSCl2
1.0
4.9199 0.0000 0.0000
0.0000 4.9199 0.0000
0.0000 0.0000 4.5327
Re As S Cl
1 1 1 2
Cartesian
0.0000 0.0000 0.0000
2.4600 2.4600 2.2664
0.0000 0.0000 2.2664
0.0000 2.4600 0.0000
2.4600 0.0000 0.0000
```

---

A plane-wave DFT calculation with PBE was carried out for crystalline ReSb2AsCl at its relaxed geometry.

Crystal system: tetragonal

The structure in POSCAR format:
```
ReSb2AsCl
1.0
5.3933 0.0000 0.0000
0.0000 5.3933 0.0000
0.0000 0.0000 4.2954
Re Sb As Cl
1 2 1 1
Cartesian
0.0000 0.0000 0.0000
0.0000 2.6966 2.1477
2.6966 0.0000 2.1477
2.6966 2.6966 0.0000
0.0000 0.0000 2.1477
```

---

A plane-wave DFT calculation with PBE was carried out for crystalline ScReAs2Cl at its relaxed geometry.

Crystal system: tetragonal

The structure in POSCAR format:
```
ScReAs2Cl
1.0
5.2027 0.0000 0.0000
0.0000 5.2027 0.0000
0.0000 0.0000 4.6740
Sc Re As Cl
1 1 2 1
Cartesian
0.0000 0.0000 0.0000
2.6014 2.6014 2.3370
0.0000 2.6014 0.0000
2.6014 0.0000 0.0000
0.0000 0.0000 2.3370
```

---

A plane-wave DFT calculation with PBE was carried out for crystalline ReAsSe2Cl at its relaxed geometry.

Crystal system: tetragonal

The structure in POSCAR format:
```
ReAsSe2Cl
1.0
4.9594 0.0000 0.0000
0.0000 4.9594 0.0000
0.0000 0.0000 4.7362
Re As Se Cl
1 1 2 1
Cartesian
0.0000 0.0000 0.0000
2.4797 2.4797 0.0000
0.0000 2.4797 2.3681
2.4797 0.0000 2.3681
2.4797 2.4797 2.3681
```

---

A plane-wave DFT calculation with PBE was carried out for crystalline ReAsSe2Cl at its relaxed geometry.

Crystal system: tetragonal

The structure in POSCAR format:
```
ReAsSe2Cl
1.0
4.8185 0.0000 0.0000
0.0000 4.8185 0.0000
0.0000 0.0000 4.9891
Re As Se Cl
1 1 2 1
Cartesian
0.0000 0.0000 0.0000
0.0000 0.0000 2.4946
0.0000 2.4093 0.0000
2.4093 0.0000 0.0000
2.4093 2.4093 2.4946
```

---

A plane-wave DFT calculation with PBE was carried out for crystalline Re2SiAsCl at its relaxed geometry.

Crystal system: tetragonal

The structure in POSCAR format:
```
Re2SiAsCl
1.0
4.7204 0.0000 0.0000
0.0000 4.7204 0.0000
0.0000 0.0000 4.8762
Re Si As Cl
2 1 1 1
Cartesian
0.0000 2.3602 0.0000
2.3602 0.0000 0.0000
0.0000 0.0000 2.4381
2.3602 2.3602 0.0000
2.3602 2.3602 2.4381
```

---

A plane-wave DFT calculation with PBE was carried out for crystalline TaReAsCl2 at its relaxed geometry.

Crystal system: tetragonal

The structure in POSCAR format:
```
TaReAsCl2
1.0
4.4557 0.0000 0.0000
0.0000 4.4557 0.0000
0.0000 0.0000 5.6288
Ta Re As Cl
1 1 1 2
Cartesian
0.0000 0.0000 0.0000
2.2279 2.2279 2.8144
2.2279 2.2279 0.0000
0.0000 2.2279 2.8144
2.2279 0.0000 2.8144
```

---

Final energy for every record listed, in sequence, given in Ry/atom: -0.2874 -0.3261 -0.2901 -0.3845 -0.2496 -0.3526 -0.4073 -0.3912.
Uncorrected formation energy for every record listed, in sequence, given in eV per atom: 1.07 0.55 1.49 0.75 1.79 0.39 1.82 1.21.